# PmSm5Dy2Tm

An optimized crystal structure of PmSm5Dy2Tm (PBE-GGA, Alexandria via LeMat-Bulk).

DFT formation energy	0.15	eV/atom
total DFT energy (no corrections)	-4.5227	eV per atom

```
18
Lattice="-1.803 4.591 2.714 4.557 -5.992 7.325 9.360 4.798 -1.899" Properties=species:S:1:pos:R:3 pbc="T T T"
Sm 4.938 -0.602 4.299
Tm 7.299 -0.832 6.255
Dy 3.807 0.665 1.403
Dy 4.172 0.553 7.675
Sm 10.454 0.008 6.930
Sm 1.506 3.309 1.242
Sm 4.799 4.006 2.250
Pm 1.561 -1.439 3.471
Tm 8.732 6.235 1.091
Sm 0.329 -0.016 0.246
Dy 7.709 2.724 0.513
Sm 8.783 1.176 3.844
Sm 2.493 1.790 4.466
Sm 7.521 1.226 8.760
Dy 9.554 3.369 6.485
Pm 6.056 2.530 5.581
Sm 3.086 -2.778 6.748
Sm 8.260 4.554 3.622
```

=====

# CaZn

An optimized crystal structure of CaZn (PBE-GGA, Alexandria via LeMat-Bulk).

DFT formation energy	0.29	eV/atom
total DFT energy (no corrections)	-1.3444	eV per atom

```
16
Lattice="8.857 0.000 0.000 0.000 8.857 0.000 0.000 0.000 8.857" Properties=species:S:1:pos:R:3 pbc="T T T"
Zn 0.936 0.936 7.921
Zn 3.493 3.493 3.493
Zn 5.364 5.364 3.493
Zn 5.364 3.493 5.364
Zn 3.493 5.364 5.364
Ca 1.824 1.824 1.824
Ca 7.033 1.824 7.033
Ca 6.253 2.604 2.604
Zn 7.921 7.921 7.921
Zn 7.921 0.936 0.936
Ca 2.604 6.253 2.604
Ca 2.604 2.604 6.253
Ca 6.253 6.253 6.253
Ca 7.033 7.033 1.824
Zn 0.936 7.921 0.936
Ca 1.824 7.033 7.033
```

=====

# Ba4CaMg5

An optimized crystal structure of Ba4CaMg5 (PBE-GGA, Alexandria via LeMat-Bulk).

DFT formation energy	-0.06	eV/atom
total DFT energy (no corrections)	-1.8236	eV per atom

```
10
Lattice="-0.397 0.707 4.193 -0.539 -4.185 0.654 21.314 -2.367 2.417" Properties=species:S:1:pos:R:3 pbc="T T T"
Mg 10.189 -2.923 3.632
Ca 0.000 0.000 0.000
Ba 3.991 -0.443 0.453
Ba 8.444 -0.938 0.957
Ba 12.870 -1.429 1.459
Mg 14.620 -3.415 4.134
Ba 17.323 -1.924 1.964
Mg 19.147 -3.918 4.648
Mg 5.758 -2.431 3.130
Mg 1.231 -1.928 2.616
```

=====

# In2AsSe

An optimized crystal structure of In2AsSe (PBE-GGA, Alexandria via LeMat-Bulk).

excess energy over the best structure of this formula in the dataset	336	meV/atom
total DFT energy (no corrections)	-3.3562	eV per atom

```
4
Lattice="0.000 3.604 3.604 3.604 0.000 3.604 3.604 3.604 0.000" Properties=species:S:1:pos:R:3 pbc="T T T"
As 0.000 0.000 0.000
In 5.406 5.406 5.406
Se 3.604 3.604 3.604
In 1.802 1.802 1.802
```